Rb2ReS4 (PBE, optimized geometry); raw total energy = -0.191 hartree per atom; energy relative to the elements, uncorrected = -787 meV per atom
1.0
7.0404 0.0000 0.0000
0.0000 9.9919 0.0000
0.0000 0.0000 12.6534
Rb S Re
8 16 4
direct
0.2500 0.9600 0.8350 Rb
0.2500 0.1549 0.3923 Rb
0.7500 0.3451 0.8923 Rb
0.2500 0.6549 0.1077 Rb
0.7500 0.0400 0.1650 Rb
0.2500 0.4600 0.6650 Rb
0.7500 0.8451 0.6077 Rb
0.7500 0.5400 0.3350 Rb
0.2500 0.7826 0.5997 S
0.4982 0.1587 0.6400 S
0.7500 0.9676 0.8923 S
0.0018 0.6587 0.8600 S
0.5018 0.3413 0.1400 S
0.0018 0.1587 0.6400 S
0.2500 0.2826 0.9003 S
0.5018 0.8413 0.3600 S
0.2500 0.0324 0.1077 S
0.7500 0.4676 0.6077 S
0.7500 0.7174 0.0997 S
0.4982 0.6587 0.8600 S
0.9982 0.3413 0.1400 S
0.2500 0.5324 0.3923 S
0.9982 0.8413 0.3600 S
0.7500 0.2174 0.4003 S
0.7500 0.7523 0.9286 Re
0.2500 0.2477 0.0714 Re
0.2500 0.7477 0.4286 Re
0.7500 0.2523 0.5714 Re

LiSmGe2Te4 (PBE, optimized geometry); raw total energy = -0.154 hartree per atom; energy relative to the elements, uncorrected = -629 meV per atom
1.0
4.3280 0.0000 0.0000
0.0000 7.4225 0.1301
0.0000 -2.5960 7.1417
Te Ge Li Sm
4 2 1 1
direct
0.0000 0.7572 0.2614 Te
0.5000 0.2500 0.2574 Te
0.5000 0.7500 0.7426 Te
0.0000 0.2428 0.7386 Te
0.0000 0.5000 0.5000 Ge
0.5000 0.0000 0.5000 Ge
0.0000 0.0000 0.0000 Li
0.5000 0.5000 0.0000 Sm

Q: Among the records above, which one has the lowest raw total energy?
A: Rb2ReS4